Entry 1:
CdBiSb2Se | GGA-PBE | optimized geometry

The structure in CIF format:
```
data_CdBiSb2Se
_chemical_formula_sum 'Cd1 Bi1 Sb2 Se1'
_space_group_name_H-M_alt 'P 4/m m m'
_space_group_IT_number 123
_space_group_name_Hall '-P 4 2'
_cell_length_a 5.5527
_cell_length_b 5.5527
_cell_length_c 5.1656
_cell_angle_alpha 90.00
_cell_angle_beta 90.00
_cell_angle_gamma 90.00
loop_
_atom_site_label
_atom_site_type_symbol
_atom_site_fract_x
_atom_site_fract_y
_atom_site_fract_z
Cd1 Cd 0.0000 0.0000 0.0000
Bi1 Bi 0.5000 0.5000 0.0000
Sb1 Sb 0.0000 0.5000 0.5000
Se1 Se 0.0000 0.0000 0.5000
```

Summary:
Magnetization = 0.000 μB/atom
Final energy = -2.918 eV per atom
Volume = 31.9 Å³ per atom
Energy relative to the elements, uncorrected = 0.387 eV/atom

Entry 2:
Cd2SiBiSb | GGA-PBE | optimized geometry

The structure in CIF format:
```
data_Cd2SiBiSb
_chemical_formula_sum 'Cd2 Si1 Bi1 Sb1'
_space_group_name_H-M_alt 'P 4/m m m'
_space_group_IT_number 123
_space_group_name_Hall '-P 4 2'
_cell_length_a 5.4105
_cell_length_b 5.4105
_cell_length_c 6.1043
_cell_angle_alpha 90.00
_cell_angle_beta 90.00
_cell_angle_gamma 90.00
loop_
_atom_site_label
_atom_site_type_symbol
_atom_site_fract_x
_atom_site_fract_y
_atom_site_fract_z
Cd1 Cd 0.0000 0.5000 0.0000
Si1 Si 0.0000 0.0000 0.5000
Bi1 Bi 0.5000 0.5000 0.5000
Sb1 Sb 0.5000 0.5000 0.0000
```

Summary:
Magnetization = 0.102 μB/atom
Final energy = -2.180 eV per atom
Volume = 35.7 Å³ per atom
Energy relative to the elements, uncorrected = 0.871 eV/atom

Entry 3:
Sr2CdBiSb | GGA-PBE | optimized geometry

The structure in CIF format:
```
data_Sr2CdBiSb
_chemical_formula_sum 'Sr4 Cd2 Bi2 Sb2'
_space_group_name_H-M_alt 'P 1 21/m 1'
_space_group_IT_number 11
_space_group_name_Hall '-P 2yb'
_cell_length_a 7.2752
_cell_length_b 4.9651
_cell_length_c 9.9752
_cell_angle_alpha 90.00
_cell_angle_beta 92.95
_cell_angle_gamma 90.00
loop_
_atom_site_label
_atom_site_type_symbol
_atom_site_fract_x
_atom_site_fract_y
_atom_site_fract_z
Sr1 Sr 0.1811 0.2500 0.3477
Sr2 Sr 0.2499 0.2500 0.9085
Cd1 Cd 0.4906 0.7500 0.3629
Bi1 Bi 0.2725 0.7500 0.6204
Sb1 Sb 0.2352 0.7500 0.1284
```

Summary:
Magnetization = 0.000 μB/atom
Final energy = -3.202 eV per atom
Volume = 36.0 Å³ per atom
Energy relative to the elements, uncorrected = -0.745 eV/atom

Entry 4:
Sr2Cd2BiSb2 | GGA-PBE | optimized geometry

The structure in CIF format:
```
data_Sr2Cd2BiSb2
_chemical_formula_sum 'Sr2 Cd2 Bi1 Sb2'
_space_group_name_H-M_alt 'P -1'
_space_group_IT_number 2
_space_group_name_Hall '-P 1'
_cell_length_a 4.8861
_cell_length_b 6.6249
_cell_length_c 7.3715
_cell_angle_alpha 94.52
_cell_angle_beta 98.65
_cell_angle_gamma 103.16
loop_
_atom_site_label
_atom_site_type_symbol
_atom_site_fract_x
_atom_site_fract_y
_atom_site_fract_z
Sr1 Sr 0.1303 0.2294 0.3090
Cd1 Cd 0.2995 0.3936 0.8424
Bi1 Bi 0.5000 0.0000 0.0000
Sb1 Sb 0.2716 0.7595 0.3475
```

Summary:
Magnetization = 0.000 μB/atom
Final energy = -2.989 eV per atom
Volume = 32.6 Å³ per atom
Energy relative to the elements, uncorrected = -0.515 eV/atom

Entry 5:
Sr2Cd2Bi2Sb | GGA-PBE | optimized geometry

The structure in CIF format:
```
data_Sr2Cd2Bi2Sb
_chemical_formula_sum 'Sr2 Cd2 Bi2 Sb1'
_space_group_name_H-M_alt 'P -1'
_space_group_IT_number 2
_space_group_name_Hall '-P 1'
_cell_length_a 4.7848
_cell_length_b 6.5820
_cell_length_c 8.5137
_cell_angle_alpha 105.56
_cell_angle_beta 97.47
_cell_angle_gamma 101.77
loop_
_atom_site_label
_atom_site_type_symbol
_atom_site_fract_x
_atom_site_fract_y
_atom_site_fract_z
Sr1 Sr 0.0869 0.0651 0.2757
Cd1 Cd 0.3632 0.5188 0.8440
Bi1 Bi 0.1987 0.6245 0.4051
Sb1 Sb 0.5000 0.0000 0.0000
```

Summary:
Magnetization = 0.000 μB/atom
Final energy = -2.891 eV per atom
Volume = 35.4 Å³ per atom
Energy relative to the elements, uncorrected = -0.451 eV/atom

Entry 6:
Cd2TcBiSb | GGA-PBE | optimized geometry

The structure in CIF format:
```
data_Cd2TcBiSb
_chemical_formula_sum 'Cd2 Tc1 Bi1 Sb1'
_space_group_name_H-M_alt 'P 4/m m m'
_space_group_IT_number 123
_space_group_name_Hall '-P 4 2'
_cell_length_a 5.3782
_cell_length_b 5.3782
_cell_length_c 6.1455
_cell_angle_alpha 90.00
_cell_angle_beta 90.00
_cell_angle_gamma 90.00
loop_
_atom_site_label
_atom_site_type_symbol
_atom_site_fract_x
_atom_site_fract_y
_atom_site_fract_z
Cd1 Cd 0.0000 0.5000 0.0000
Tc1 Tc 0.0000 0.0000 0.5000
Bi1 Bi 0.5000 0.5000 0.5000
Sb1 Sb 0.5000 0.5000 0.0000
```

Summary:
Magnetization = 0.820 μB/atom
Final energy = -2.715 eV per atom
Volume = 35.6 Å³ per atom
Energy relative to the elements, uncorrected = 1.325 eV/atom

Entry 7:
CdBiSb2Te | GGA-PBE | optimized geometry

The structure in CIF format:
```
data_CdBiSb2Te
_chemical_formula_sum 'Cd1 Bi1 Sb2 Te1'
_space_group_name_H-M_alt 'P 4/m m m'
_space_group_IT_number 123
_space_group_name_Hall '-P 4 2'
_cell_length_a 5.8669
_cell_length_b 5.8669
_cell_length_c 5.9997
_cell_angle_alpha 90.00
_cell_angle_beta 90.00
_cell_angle_gamma 90.00
loop_
_atom_site_label
_atom_site_type_symbol
_atom_site_fract_x
_atom_site_fract_y
_atom_site_fract_z
Cd1 Cd 0.0000 0.0000 0.0000
Bi1 Bi 0.5000 0.5000 0.5000
Sb1 Sb 0.0000 0.5000 0.5000
Te1 Te 0.5000 0.5000 0.0000
```

Summary:
Magnetization = 0.186 μB/atom
Final energy = -2.462 eV per atom
Energy above the most stable polymorph in this dataset = 0.1502 eV/atom
Volume = 41.3 Å³ per atom
Energy relative to the elements, uncorrected = 0.775 eV/atom

Entry 8:
Cd2BiSbTe | GGA-PBE | optimized geometry

The structure in CIF format:
```
data_Cd2BiSbTe
_chemical_formula_sum 'Cd2 Bi1 Sb1 Te1'
_space_group_name_H-M_alt 'P 4/m m m'
_space_group_IT_number 123
_space_group_name_Hall '-P 4 2'
_cell_length_a 5.5648
_cell_length_b 5.5648
_cell_length_c 6.1149
_cell_angle_alpha 90.00
_cell_angle_beta 90.00
_cell_angle_gamma 90.00
loop_
_atom_site_label
_atom_site_type_symbol
_atom_site_fract_x
_atom_site_fract_y
_atom_site_fract_z
Cd1 Cd 0.0000 0.5000 0.0000
Bi1 Bi 0.0000 0.0000 0.0000
Sb1 Sb 0.5000 0.5000 0.5000
Te1 Te 0.0000 0.0000 0.5000
```

Summary:
Magnetization = 0.000 μB/atom
Final energy = -2.047 eV per atom
Volume = 37.9 Å³ per atom
Energy relative to the elements, uncorrected = 0.548 eV/atom